Record 1
Computed, not measured: crystalline CaPmSm at its relaxed geometry at the PBE-GGA level of DFT.

```
CaPmSm
1.0
-0.367 -0.251 3.679
-1.462 -3.384 -0.377
14.544 -6.396 1.017
Ca Pm Sm
2 2 2
Cartesian
12.470 -7.497 0.734
1.160 -0.716 1.933
7.734 -5.414 0.403
5.896 -2.799 2.264
10.503 -4.825 2.586
3.127 -3.388 0.081
```

Computed properties:
space-group type	P4/nmm (129)
Fermi-level density of states	1.525	states/eV/atom
E	-3.79	eV per atom
calculated formation energy	3	kJ/mol of atoms
energy above the most stable polymorph in this dataset	0.000	eV per atom

=====

Record 2
Computed, not measured: crystalline CaPm7Sm3 at its relaxed geometry at the PBE-GGA level of DFT.

```
CaPm7Sm3
1.0
6.564 0.010 0.432
0.416 7.756 1.107
-0.017 0.046 7.845
Ca Pm Sm
1 7 3
Cartesian
3.482 3.906 4.692
5.293 1.837 2.441
5.257 7.155 5.839
1.855 3.313 1.224
5.108 4.499 8.160
0.200 3.901 4.476
1.706 0.657 3.546
1.670 5.975 6.943
0.343 6.444 2.253
3.282 0.005 0.216
0.057 1.358 6.699
```

Computed properties:
space-group type	C2/m (12)
Fermi-level density of states	1.351	states/eV/atom
E	-4.27	eV per atom
calculated formation energy	21	kJ/mol of atoms
energy above the most stable polymorph in this dataset	0.017	eV per atom

=====

Record 3
Computed, not measured: crystalline CaPm3Sm7 at its relaxed geometry at the PBE-GGA level of DFT.

```
CaPm3Sm7
1.0
8.811 0.000 0.000
0.000 7.234 0.000
0.000 -3.617 6.265
Ca Pm Sm
1 3 7
Cartesian
3.922 0.000 4.177
6.948 1.840 3.114
6.948 3.617 0.036
6.948 5.394 3.114
0.987 -1.828 5.232
0.987 0.000 2.066
1.090 3.617 2.088
3.949 5.405 1.056
3.949 1.829 1.056
3.949 3.617 4.153
0.987 1.828 5.232
```

Computed properties:
space-group type	P3m1 (156)
Fermi-level density of states	1.523	states/eV/atom
E	-4.27	eV per atom
calculated formation energy	20	kJ/mol of atoms
energy above the most stable polymorph in this dataset	0.000	eV per atom

=====

| no. | ρ (g/cm³) |
| --- | --- |
| 1 | 5.096 |
| 2 | 6.267 |
| 3 | 6.352 |